Here is CoPb2Br2O2 after structural relaxation from the Open Quantum Materials Database. Energies are from GGA+U.

a b c (Å): 8.746 8.746 8.746
angles (deg): 152.73 152.73 38.95
Each line ends with the local moment (μB).
Sites, in units of the cell vectors:
1 Pb 0.601 0.601 0.000  0.00
2 O 0.000 0.500 0.500  0.09
3 Br 0.177 0.177 0.000  0.03
4 Pb 0.399 0.399 0.000  0.00
5 Co 0.000 0.000 0.000  2.70
6 Br 0.823 0.823 0.000  0.03
7 O 0.500 0.000 0.500  0.08

## Properties
Symmetry = I4/mmm
Raw total energy = -32.346 eV/cell
Magnetic moment = 0.429 μB per atom